Density functional theory data (GGA-PBE) for an optimized crystal structure of Al8Ni2Os.

The calculation puts the total energy at -5.164 eV/atom. The calculation puts the volume at 314.6 Å³/cell. The value obtained for the formation energy is -0.37 eV/atom. The calculation puts the calculated density at 5.5 Mg/m³. For the total magnetization, the calculation gives 0.000 μB/atom.

The structure belongs to space group Immm (No. 71); the cell edges are 3.9815, 6.6368 and 11.9058 Å and the angles 90.00°, 90.00° and 90.00°. The distinct sites, in fractional coordinates, are Al at (0.0000, 0.0000, 0.1501), Al at (0.0000, 0.2208, 0.3382), Al at (0.0000, 0.3010, 0.0000), Ni at (0.0000, 0.5000, 0.1824) and Os at (0.0000, 0.5000, 0.5000).